1.
VASP calculation (PBE) on Dy6Tl3Se2S after structural relaxation.

```
Dy6Tl3Se2S
1.0
-3.546 0.516 -5.725
-2.610 -3.291 5.290
-1.217 7.700 2.765
Tl Se Dy S
3 2 6 1
direct
0.826 0.174 0.500
0.500 0.500 0.500
0.174 0.826 0.500
0.665 0.335 0.000
0.335 0.665 0.000
0.747 0.747 0.216
0.253 0.253 0.784
0.068 0.394 0.211
0.394 0.068 0.211
0.606 0.932 0.789
0.932 0.606 0.789
0.000 0.000 0.000
```

Calculated values
The value obtained for the density of states at the Fermi level is 6.7 states/eV/cell. Its magnetic moment is 0.00 μB per cell. The value obtained for the raw formation energy is -1.084 eV/atom. Its raw total energy is -0.36028 Ry per atom.

2.
VASP calculation (PBE) on Dy6Tl3SeS2 after structural relaxation.

```
Dy6Tl3SeS2
1.0
-6.579 0.539 1.140
3.030 -5.939 0.651
2.626 3.364 7.048
S Dy Tl Se
2 6 3 1
direct
0.332 0.668 0.000
0.668 0.332 0.000
0.275 0.275 0.795
0.725 0.725 0.205
0.931 0.589 0.791
0.069 0.411 0.209
0.411 0.069 0.209
0.589 0.931 0.791
0.161 0.839 0.500
0.500 0.500 0.500
0.839 0.161 0.500
0.000 0.000 0.000
```

Calculated values
The value obtained for the density of states at the Fermi level is 6.8 states/eV/cell. Its magnetic moment is 0.00 μB per cell. The value obtained for the raw formation energy is -1.128 eV/atom. Its raw total energy is -0.36742 Ry per atom.

3.
VASP calculation (PBE) on Dy8Tl4Se3S after structural relaxation.

```
Dy8Tl4Se3S
1.0
7.820 0.000 0.000
0.000 9.113 0.883
-3.910 -3.942 5.547
Tl Se Dy S
4 3 8 1
direct
0.000 0.000 0.000
0.000 0.000 0.500
0.500 0.000 0.500
0.500 0.000 0.000
0.500 0.500 0.000
0.500 0.500 0.500
0.000 0.500 0.500
0.767 0.288 0.021
0.233 0.712 0.979
0.746 0.712 0.979
0.234 0.712 0.467
0.740 0.719 0.479
0.766 0.288 0.533
0.254 0.288 0.021
0.260 0.281 0.521
0.000 0.500 0.000
```

Calculated values
The value obtained for the density of states at the Fermi level is 8.1 states/eV/cell. Its magnetic moment is 0.00 μB per cell. The value obtained for the raw formation energy is -1.074 eV/atom. Its raw total energy is -0.35852 Ry per atom.

4.
VASP calculation (PBE) on Dy2Tm2Se3S2 after structural relaxation.

```
Dy2Tm2Se3S2
1.0
-1.055 4.892 2.298
-5.257 -0.383 -1.597
1.553 -5.438 5.690
Dy Se S Tm
2 3 2 2
direct
0.788 0.788 0.577
0.212 0.212 0.423
0.750 0.250 0.500
0.250 0.750 0.500
0.000 0.000 0.000
0.401 0.401 0.802
0.599 0.599 0.198
0.000 0.500 0.000
0.500 0.000 0.000
```

Calculated values
The value obtained for the density of states at the Fermi level is 5.6 states/eV/cell. Its magnetic moment is 0.00 μB per cell. The value obtained for the raw formation energy is -1.524 eV/atom. Its raw total energy is -0.41296 Ry per atom.